The following is a GGA-PBE calculation of a relaxed Rb2RePdI6 crystal, from Alexandria via LeMat-Bulk.

Cell: 8.1007 8.1007 11.4480 Å, 90.00 90.00 90.00°
Last column: nearest neighbours and their distance in Å.
Space group I4/mmm (No. 139)
One atom of each set of equivalent atoms:
Rb: 0.0000 0.5000 0.2500 [4 per cell]  12 I 4.05
Re: 0.0000 0.0000 0.0000 [2 per cell]  6 I 2.80
Pd: 0.0000 0.0000 0.5000 [2 per cell]  6 I 2.93
I: 0.0000 0.0000 0.2443 [4 per cell]  1 Re 2.80, 1 Pd 2.93
I: 0.2440 0.2440 0.0000 [8 per cell]  1 Re 2.80, 1 Pd 2.93

## Properties
Formation energy (no corrections) (eV/atom): -0.449

The following is a GGA-PBE calculation of a relaxed TiOsRuS crystal, from Alexandria via LeMat-Bulk.

Cell: 9.6237 2.9405 4.5186 Å, 90.00 117.13 90.00°
Last column: nearest neighbours and their distance in Å.
Space group Cm (No. 8)
One atom of each set of equivalent atoms:
Ti: 0.0000 0.0000 0.0000 [2 per cell]  2 S 2.47, 2 Os 2.74
Os: 0.4315 0.0000 0.4398 [2 per cell]  2 S 2.36
Ru: 0.2088 0.0000 0.7058 [2 per cell]  2 S 2.32
S: 0.2259 0.5000 0.1180 [2 per cell]  2 Ru 2.32, 2 Os 2.36, 2 Ti 2.47

## Properties
Formation energy (no corrections) (eV/atom): -0.219

The following is a GGA-PBE calculation of a relaxed Na3In2Au3 crystal, from Alexandria via LeMat-Bulk.

Cell: 8.4335 8.4335 6.0441 Å, 90.00 90.00 120.00°
Last column: nearest neighbours and their distance in Å.
Space group P6_3/mcm (No. 193)
One atom of each set of equivalent atoms:
Na: 0.0000 0.2468 0.2500 [6 per cell]  3 Au 2.91-3.00
In: 0.3333 0.6667 0.0000 [4 per cell]  6 Au 2.97, 2 In 3.02
Au: 0.0000 0.4078 0.7500 [6 per cell]  3 Na 2.91-3.00, 4 In 2.97

## Properties
Electronic total energy (Ha/atom): -0.0986

The following is a GGA-PBE calculation of a relaxed Tc2HgSe crystal, from Alexandria via LeMat-Bulk.

Cell: 10.1487 2.9687 5.0249 Å, 90.00 105.85 90.00°
Last column: nearest neighbours and their distance in Å.
Space group Cm (No. 8)
One atom of each set of equivalent atoms:
Tc: 0.0000 0.0000 0.0000 [2 per cell]  2 Se 2.45, 2 Tc 2.62
Tc: 0.2214 0.5000 0.1351 [2 per cell]  2 Se 2.62, 2 Tc 2.62, 2 Hg 2.84
Hg: 0.2226 0.0000 0.6543 [2 per cell]  4 Tc 2.84-3.00, 2 Hg 2.97, 1 Se 3.05
Se: 0.4385 0.0000 0.3346 [2 per cell]  4 Tc 2.45-2.62

## Properties
Formation energy (no corrections) (eV/atom): 0.451

The following is a GGA-PBE calculation of a relaxed Tl2SbP crystal, from Alexandria via LeMat-Bulk.

Cell: 3.2064 5.2119 6.3564 Å, 90.00 90.00 90.00°
Last column: nearest neighbours and their distance in Å.
Space group Pmmm (No. 47)
One atom of each set of equivalent atoms:
Tl: 0.0000 0.0000 0.2408 [2 per cell]  4 Tl 3.06-3.30, 4 P 3.42
Sb: 0.5000 0.5000 0.5000 [1 per cell]  2 P 3.18, 2 Sb 3.21, 8 Tl 3.48
P: 0.5000 0.5000 0.0000 [1 per cell]  2 Sb 3.18, 2 P 3.21, 8 Tl 3.42

## Properties
Formation energy (no corrections) (eV/atom): 0.341

The following is a GGA-PBE calculation of a relaxed TmAlGa2Cu crystal, from Alexandria via LeMat-Bulk.

Cell: 4.0176 4.0176 10.9100 Å, 90.00 90.00 90.00°
Last column: nearest neighbours and their distance in Å.
Space group I-4m2 (No. 119)
One atom of each set of equivalent atoms:
Tm: 0.0000 0.0000 0.0000 [2 per cell]  8 Ga 3.09, 4 Cu 3.39, 4 Al 3.39
Al: 0.0000 0.5000 0.2500 [2 per cell]  4 Ga 2.52
Ga: 0.0000 0.0000 0.3890 [4 per cell]  1 Ga 2.42, 2 Al 2.52, 2 Cu 2.52
Cu: 0.0000 0.5000 0.7500 [2 per cell]  4 Ga 2.52

## Properties
Electronic total energy (Ha/atom): -0.1513

The following is a GGA-PBE calculation of a relaxed BaCd2AgHg crystal, from Alexandria via LeMat-Bulk.

Cell: 5.3583 5.3583 5.4420 Å, 90.00 90.00 90.00°
Last column: nearest neighbours and their distance in Å.
Space group P4/mmm (No. 123)
One atom of each set of equivalent atoms:
Ba: 0.0000 0.0000 0.0000 [1 per cell]  4 Hg 3.79, 8 Cd 3.82
Cd: 0.0000 0.5000 0.5000 [2 per cell]  2 Ag 2.68
Ag: 0.5000 0.5000 0.5000 [1 per cell]  4 Cd 2.68, 2 Hg 2.72
Hg: 0.5000 0.5000 0.0000 [1 per cell]  2 Ag 2.72

## Properties
Electronic total energy (Ha/atom): -0.0556

The following is a GGA-PBE calculation of a relaxed Tb6Pm2Er3Tm crystal, from Alexandria via LeMat-Bulk.

Cell: 6.1579 10.6577 11.7848 Å, 90.00 99.98 90.00°
Last column: nearest neighbours and their distance in Å.
Space group C2/m (No. 12)
One atom of each set of equivalent atoms:
Tb: 0.2477 0.0000 0.2471 [4 per cell]  3 Er 3.52-3.53, 6 Tb 3.54-3.56, 1 Tm 3.58, 2 Pm 3.58
Tb: 0.2491 0.3338 0.2474 [8 per cell]  3 Er 3.53, 6 Tb 3.54-3.56, 1 Tm 3.58, 2 Pm 3.58
Pm: 0.0000 0.3335 0.5000 [4 per cell]  3 Pm 3.55-3.56, 3 Tm 3.55, 6 Tb 3.58
Er: 0.0000 0.1663 0.0000 [4 per cell]  6 Tb 3.52-3.53, 6 Er 3.55-3.56
Er: 0.0000 0.5000 0.0000 [2 per cell]  6 Tb 3.53, 6 Er 3.55-3.56
Tm: 0.0000 0.0000 0.5000 [2 per cell]  6 Pm 3.55, 6 Tb 3.58

## Properties
Electronic total energy (Ha/atom): -0.1692

The following is a GGA-PBE calculation of a relaxed AgSb4Rh crystal, from Alexandria via LeMat-Bulk.

Cell: 8.5812 8.5812 8.5812 Å, 90.00 90.00 90.00°
Last column: nearest neighbours and their distance in Å.
Space group F-43m (No. 216)
One atom of each set of equivalent atoms:
Ag: 0.0000 0.0000 0.0000 [4 per cell]  12 Sb 3.56, 4 Rh 3.72
Sb: 0.1255 0.1255 0.3745 [16 per cell]  6 Sb 3.02-3.05
Rh: 0.2500 0.2500 0.7500 [4 per cell]  12 Sb 3.56, 4 Ag 3.72

## Properties
Formation energy (no corrections) (eV/atom): 0.726

The following is a GGA-PBE calculation of a relaxed PbW3I crystal, from Alexandria via LeMat-Bulk.

Cell: 5.0967 5.0967 5.0967 Å, 90.00 90.00 90.00°
Last column: nearest neighbours and their distance in Å.
Space group Pm-3m (No. 221)
One atom of each set of equivalent atoms:
Pb: 0.0000 0.0000 0.0000 [1 per cell]  6 W 2.55
W: 0.0000 0.0000 0.5000 [3 per cell]  2 Pb 2.55
I: 0.5000 0.5000 0.5000 [1 per cell]  12 W 3.60

## Properties
Formation energy (no corrections) (eV/atom): 3.305